Entry from the Alexandria database: crystalline La4N3F at its relaxed geometry (PBE-GGA).

## Properties
Uncorrected formation energy, eV per formula unit: -13.9
Crystal system: orthorhombic
Raw total energy, Ry/atom: -0.5555
Mass density, g cm⁻³: 6.957
Symmetry: Cmmm, No. 65

Lattice parameters (Å, degrees): 3.719 6.466 6.466 71.19 89.99 89.99
Fractional coordinates of all 8 atoms:
N (0.000, 0.500, 0.500)
La (0.000, 0.767, 0.734)
La (0.000, 0.234, 0.266)
La (0.500, 0.245, 0.744)
N (0.000, 0.000, 0.000)
N (0.500, 0.000, 0.500)
La (0.500, 0.756, 0.255)
F (0.500, 0.500, 0.000)